The following is a PBEsol calculation of TlIn3 after structural relaxation, from the Alexandria database.

Computed properties:
DFT total energy in eV/atom: -2.878
D(E_F) in states/eV/cell: 3.5

Cell lengths 5.3149, 6.7793, 5.8204 Å; angles 90.00, 90.00, 90.00 degrees
Closest atoms and distances in Å follow each position.
Space group Pmmn (No. 59, origin choice 2)
Inequivalent atoms, fractional coordinates:
1 Tl 0.2500 0.2500 0.1603  12 In 3.31-3.39
2 In 0.2500 0.5009 0.6636  8 In 3.27-3.44, 4 Tl 3.31-3.39
3 In 0.2500 0.7500 0.1782  8 In 3.29-3.44, 4 Tl 3.31-3.39



The following is a PBEsol calculation of ZnTe2NCl after structural relaxation, from the Alexandria database.

Computed properties:
Formation energy from raw total energies in eV per atom: 0.7886
DFT total energy in eV/atom: -3.045
Excess energy over the best structure of this formula in the dataset in eV/atom: 0.000
D(E_F) in states/eV/cell: 5.2

Cell lengths 5.5277, 5.5277, 3.5457 Å; angles 90.00, 90.00, 90.00 degrees
Closest atoms and distances in Å follow each position.
Space group P4/mmm (No. 123)
Inequivalent atoms, fractional coordinates:
1 Zn 0.0000 0.0000 0.0000  2 N 1.77
2 Te 0.0000 0.5000 0.0000  2 Zn 2.76
3 N 0.0000 0.0000 0.5000  2 Zn 1.77
4 Cl 0.5000 0.5000 0.5000  8 Te 3.28, 2 Cl 3.55